10
Lattice="7.039 0.000 0.000 0.000 7.039 0.000 0.000 0.000 4.838" Properties=species:S:1:pos:R:3 comment="Li2Y2Tl, optimized geometry, DFT GGA-PBE" ef_kj_per_mol_atoms=-9 e_tot_ha_per_atom=-0.14398 e_above_lowest_polymorph_mev_per_atom=0 pbc="T T T"
Li 0.900 2.620 0.000
Li 2.620 6.139 0.000
Li 4.420 0.900 0.000
Li 6.139 4.420 0.000
Y 1.303 4.822 2.419
Y 2.217 1.303 2.419
Y 4.822 5.736 2.419
Y 5.736 2.217 2.419
Tl 0.000 0.000 0.000
Tl 3.520 3.520 0.000

---

4
Lattice="-1.684 2.815 6.425 1.684 -2.815 6.425 1.684 2.815 -6.425" Properties=species:S:1:pos:R:3 comment="LiY2Tl, optimized geometry, DFT GGA-PBE" ef_kj_per_mol_atoms=25 e_tot_ha_per_atom=-0.14855 e_above_lowest_polymorph_mev_per_atom=493 pbc="T T T"
Li 0.000 0.000 0.000
Y 0.000 0.000 3.255
Y 0.000 0.000 9.595
Tl 0.000 0.000 6.425

---

4
Lattice="3.936 0.000 0.000 0.000 4.883 0.000 0.000 0.000 5.056" Properties=species:S:1:pos:R:3 comment="Li2YTl, optimized geometry, DFT GGA-PBE" ef_kj_per_mol_atoms=-13 e_tot_ha_per_atom=-0.12115 e_above_lowest_polymorph_mev_per_atom=116 pbc="T T T"
Li 0.000 0.000 0.000
Li 1.968 2.441 0.000
Y 0.000 2.441 2.528
Tl 1.968 0.000 2.528

---

4
Lattice="0.000 3.774 3.774 3.774 0.000 3.774 3.774 3.774 0.000" Properties=species:S:1:pos:R:3 comment="LiY2Tl, optimized geometry, DFT GGA-PBE" ef_kj_per_mol_atoms=5 e_tot_ha_per_atom=-0.15604 e_above_lowest_polymorph_mev_per_atom=289 pbc="T T T"
Li 0.000 0.000 0.000
Y 3.774 3.774 3.774
Y 5.661 5.661 5.661
Tl 1.887 1.887 1.887

---

14
Lattice="5.713 -2.306 0.000 5.713 2.306 0.000 -4.988 0.000 14.244" Properties=species:S:1:pos:R:3 comment="LiY3Tl3, optimized geometry, DFT GGA-PBE" ef_kj_per_mol_atoms=-31 e_tot_ha_per_atom=-0.16091 pbc="T T T"
Li 0.748 0.000 5.671
Li 5.691 0.000 8.573
Y -0.878 0.000 11.078
Y 4.220 0.000 1.171
Y 2.249 0.000 8.759
Y 4.190 0.000 5.485
Y 2.219 0.000 13.073
Y 7.316 0.000 3.167
Tl -0.908 0.000 3.392
Tl 1.099 0.000 1.039
Tl -1.183 0.000 7.900
Tl 7.622 0.000 6.344
Tl 5.340 0.000 13.205
Tl 7.347 0.000 10.852

---

4
Lattice="3.148 -1.819 0.000 3.148 1.819 0.000 -2.088 0.000 10.190" Properties=species:S:1:pos:R:3 comment="LiY2Tl, optimized geometry, DFT GGA-PBE" ef_kj_per_mol_atoms=-1 e_tot_ha_per_atom=-0.15853 e_above_lowest_polymorph_mev_per_atom=222 pbc="T T T"
Li 0.000 0.000 0.000
Y 2.104 0.000 7.550
Y 4.200 0.000 2.640
Tl 0.005 0.000 5.092

---

5
Lattice="5.263 0.000 0.000 0.000 5.263 0.000 0.000 0.000 5.263" Properties=species:S:1:pos:R:3 comment="LiY3Tl, optimized geometry, DFT GGA-PBE" ef_kj_per_mol_atoms=32 e_tot_ha_per_atom=-0.16178 e_above_lowest_polymorph_mev_per_atom=504 pbc="T T T"
Li 0.000 0.000 0.000
Y 0.000 0.000 2.632
Y 0.000 2.632 0.000
Y 2.632 0.000 0.000
Tl 2.632 2.632 2.632

---

4
Lattice="3.585 0.000 0.000 0.000 4.877 0.000 -1.784 0.000 6.102" Properties=species:S:1:pos:R:3 comment="LiY2Tl, optimized geometry, DFT GGA-PBE" ef_kj_per_mol_atoms=-18 e_tot_ha_per_atom=-0.16489 e_above_lowest_polymorph_mev_per_atom=49 pbc="T T T"
Li 0.000 0.000 0.000
Y 0.003 2.439 4.859
Y 1.793 0.000 2.795
Tl -0.002 2.439 1.566

---

11
Lattice="-2.371 3.595 7.552 2.371 -3.595 7.552 2.371 3.595 -7.552" Properties=species:S:1:pos:R:3 comment="Li4Y3Tl4, optimized geometry, DFT GGA-PBE" ef_kj_per_mol_atoms=-27 e_tot_ha_per_atom=-0.13208 e_above_lowest_polymorph_mev_per_atom=14 pbc="T T T"
Li 2.371 -2.253 4.910
Li 0.000 1.342 2.642
Li 2.371 2.253 4.910
Li 0.000 5.848 2.642
Y 2.371 0.000 0.000
Y 0.000 0.000 5.755
Y 0.000 0.000 9.350
Tl 2.371 0.000 3.303
Tl 0.000 2.075 0.000
Tl 0.000 5.115 0.000
Tl 0.000 3.595 4.250

---

10
Lattice="7.613 0.000 0.000 0.000 7.613 0.000 0.000 0.000 4.642" Properties=species:S:1:pos:R:3 comment="LiY2Tl2, optimized geometry, DFT GGA-PBE" ef_kj_per_mol_atoms=-29 e_tot_ha_per_atom=-0.15507 e_above_lowest_polymorph_mev_per_atom=0 pbc="T T T"
Li 0.000 0.000 0.000
Li 3.807 3.807 0.000
Y 1.244 2.562 2.321
Y 2.562 6.369 2.321
Y 5.051 1.244 2.321
Y 6.369 5.051 2.321
Tl 1.105 4.911 0.000
Tl 2.702 1.105 0.000
Tl 4.911 6.508 0.000
Tl 6.508 2.702 0.000

---

10
Lattice="2.563 -10.571 0.000 2.563 10.571 0.000 0.000 0.000 5.134" Properties=species:S:1:pos:R:3 comment="LiY3Tl, optimized geometry, DFT GGA-PBE" ef_kj_per_mol_atoms=-17 e_tot_ha_per_atom=-0.18029 e_above_lowest_polymorph_mev_per_atom=0 pbc="T T T"
Li 2.563 7.304 3.851
Li 2.563 -7.304 1.284
Y 2.563 9.348 1.284
Y 2.563 5.309 1.284
Y 2.563 1.321 1.284
Y 2.563 -1.321 3.851
Y 2.563 -5.309 3.851
Y 2.563 -9.348 3.851
Tl 2.563 3.358 3.851
Tl 2.563 -3.358 1.284

---

9
Lattice="5.504 -2.453 0.000 5.504 2.453 0.000 -4.350 0.000 8.284" Properties=species:S:1:pos:R:3 comment="Li2Y3Tl4, optimized geometry, DFT GGA-PBE" ef_kj_per_mol_atoms=-30 e_tot_ha_per_atom=-0.14501 pbc="T T T"
Li 0.016 0.000 2.403
Li 6.643 0.000 5.882
Y -1.098 0.000 5.473
Y 5.504 0.000 0.000
Y 7.757 0.000 2.812
Tl 2.142 0.000 0.696
Tl 2.146 0.000 5.144
Tl 4.512 0.000 3.140
Tl 4.517 0.000 7.589

---

4
Lattice="3.512 0.000 0.000 0.000 4.707 0.000 0.000 0.000 6.585" Properties=species:S:1:pos:R:3 comment="LiY2Tl, optimized geometry, DFT GGA-PBE" ef_kj_per_mol_atoms=-9 e_tot_ha_per_atom=-0.16150 e_above_lowest_polymorph_mev_per_atom=141 pbc="T T T"
Li 0.000 0.000 0.000
Y 0.000 0.000 3.063
Y 1.756 2.354 5.048
Tl 1.756 2.354 1.644

---

5
Lattice="5.922 0.000 0.000 0.000 5.922 0.000 0.000 0.000 5.922" Properties=species:S:1:pos:R:3 comment="LiYTl3, optimized geometry, DFT GGA-PBE" ef_kj_per_mol_atoms=38 e_tot_ha_per_atom=-0.09916 e_above_lowest_polymorph_mev_per_atom=500 pbc="T T T"
Li 0.000 0.000 0.000
Y 2.961 2.961 2.961
Tl 0.000 2.961 2.961
Tl 2.961 0.000 2.961
Tl 2.961 2.961 0.000

---

5
Lattice="-1.813 1.813 9.855 1.813 -1.813 9.855 1.813 1.813 -9.855" Properties=species:S:1:pos:R:3 comment="Li2Y2Tl, optimized geometry, DFT GGA-PBE" ef_kj_per_mol_atoms=2 e_tot_ha_per_atom=-0.13990 e_above_lowest_polymorph_mev_per_atom=111 pbc="T T T"
Li 1.813 0.000 4.928
Li 0.000 1.813 4.928
Y 0.000 0.000 2.038
Y 0.000 0.000 17.672
Tl 0.000 0.000 9.855

---

12
Lattice="4.766 0.000 0.000 0.000 4.766 0.000 0.000 0.000 14.270" Properties=species:S:1:pos:R:3 comment="LiY2Tl9, optimized geometry, DFT GGA-PBE" ef_kj_per_mol_atoms=-16 e_tot_ha_per_atom=-0.11679 pbc="T T T"
Li 0.000 0.000 0.000
Y 0.000 0.000 4.787
Y 0.000 0.000 9.484
Tl 0.000 2.383 2.315
Tl 0.000 2.383 7.135
Tl 0.000 2.383 11.955
Tl 2.383 0.000 2.315
Tl 2.383 0.000 7.135
Tl 2.383 0.000 11.955
Tl 2.383 2.383 0.000
Tl 2.383 2.383 4.729
Tl 2.383 2.383 9.541

---

5
Lattice="2.531 1.461 5.237 -2.531 1.461 5.237 0.000 -2.922 5.237" Properties=species:S:1:pos:R:3 comment="Li2Y2Tl, optimized geometry, DFT GGA-PBE" ef_kj_per_mol_atoms=-8 e_tot_ha_per_atom=-0.14375 e_above_lowest_polymorph_mev_per_atom=6 pbc="T T T"
Li 0.000 0.000 1.364
Li 0.000 0.000 14.348
Y 0.000 0.000 4.343
Y 0.000 0.000 11.368
Tl 0.000 0.000 7.856

---

6
Lattice="0.000 3.906 3.906 3.906 0.000 3.906 3.906 3.906 0.000" Properties=species:S:1:pos:R:3 comment="Li4YTl, optimized geometry, DFT GGA-PBE" ef_kj_per_mol_atoms=-10 e_tot_ha_per_atom=-0.10486 pbc="T T T"
Li 2.934 2.934 2.934
Li 4.878 4.878 2.934
Li 4.878 2.934 4.878
Li 2.934 4.878 4.878
Y 0.000 0.000 0.000
Tl 5.859 5.859 5.859

---

4
Lattice="1.807 1.043 10.255 -1.807 1.043 10.255 0.000 -2.087 10.255" Properties=species:S:1:pos:R:3 comment="LiY2Tl, optimized geometry, DFT GGA-PBE" ef_kj_per_mol_atoms=-1 e_tot_ha_per_atom=-0.15844 e_above_lowest_polymorph_mev_per_atom=224 pbc="T T T"
Li 0.000 0.000 0.000
Y 0.000 0.000 7.625
Y 0.000 0.000 23.140
Tl 0.000 0.000 15.383

---

11
Lattice="3.534 0.000 0.000 -0.001 4.865 0.000 -1.755 -2.421 15.210" Properties=species:S:1:pos:R:3 comment="Li4Y3Tl4, optimized geometry, DFT GGA-PBE" ef_kj_per_mol_atoms=-28 e_tot_ha_per_atom=-0.13259 e_above_lowest_polymorph_mev_per_atom=0 pbc="T T T"
Li 0.001 0.003 2.822
Li 0.004 2.437 7.311
Li 1.774 0.006 7.899
Li 1.777 2.440 12.388
Y 0.008 0.007 10.829
Y 1.767 0.000 0.000
Y 1.770 2.436 4.381
Tl -0.003 2.434 1.562
Tl 0.006 0.005 5.596
Tl 1.772 2.438 9.614
Tl 1.781 0.009 13.648

---

30
Lattice="2.363 -10.616 0.000 2.363 10.616 0.000 0.000 0.000 14.683" Properties=species:S:1:pos:R:3 comment="Li5Y4Tl6, optimized geometry, DFT GGA-PBE" ef_kj_per_mol_atoms=-25 e_tot_ha_per_atom=-0.13095 pbc="T T T"
Li 2.363 10.103 7.341
Li 2.363 7.285 11.771
Li 2.363 7.093 6.931
Li 2.363 6.849 2.221
Li 2.363 3.900 7.175
Li 2.363 -3.900 14.516
Li 2.363 -6.849 9.562
Li 2.363 -7.093 14.272
Li 2.363 -7.285 4.429
Li 2.363 -10.103 0.000
Y 2.363 3.854 12.065
Y 2.363 2.964 1.953
Y 2.363 1.187 5.061
Y 2.363 1.089 9.187
Y 2.363 -1.089 1.845
Y 2.363 -1.187 12.402
Y 2.363 -2.964 9.294
Y 2.363 -3.854 4.724
Tl 2.363 9.567 10.134
Tl 2.363 8.973 4.308
Tl 2.363 8.403 14.430
Tl 2.363 5.472 9.411
Tl 2.363 4.730 4.558
Tl 2.363 1.482 13.969
Tl 2.363 -1.482 6.627
Tl 2.363 -4.730 11.899
Tl 2.363 -5.472 2.069
Tl 2.363 -8.403 7.089
Tl 2.363 -8.973 11.649
Tl 2.363 -9.567 2.793

---

8
Lattice="-2.276 2.276 11.291 2.276 -2.276 11.291 2.276 2.276 -11.291" Properties=species:S:1:pos:R:3 comment="LiY2Tl, optimized geometry, DFT GGA-PBE" ef_kj_per_mol_atoms=21 e_tot_ha_per_atom=-0.14992 e_above_lowest_polymorph_mev_per_atom=456 pbc="T T T"
Li 0.000 0.000 0.000
Li 0.000 2.276 5.645
Y 1.138 -1.087 8.468
Y 1.189 1.138 2.823
Y 1.138 3.362 -2.823
Y 1.087 1.138 14.113
Tl 2.276 0.000 5.645
Tl 0.000 0.000 11.291

---

4
Lattice="0.000 3.429 3.429 3.429 0.000 3.429 3.429 3.429 0.000" Properties=species:S:1:pos:R:3 comment="Li2YTl, optimized geometry, DFT GGA-PBE" ef_kj_per_mol_atoms=-24 e_tot_ha_per_atom=-0.12541 e_above_lowest_polymorph_mev_per_atom=0 pbc="T T T"
Li 1.714 1.714 1.714
Li 5.143 5.143 5.143
Y 0.000 0.000 0.000
Tl 3.429 3.429 3.429

---

12
Lattice="5.311 0.000 0.000 -2.656 4.600 0.000 0.000 0.000 13.098" Properties=species:S:1:pos:R:3 comment="LiY3Tl2, optimized geometry, DFT GGA-PBE" ef_kj_per_mol_atoms=-28 e_tot_ha_per_atom=-0.17013 pbc="T T T"
Li 0.000 3.067 2.248
Li 2.656 1.533 10.849
Y 0.000 0.000 3.276
Y 0.000 0.000 9.821
Y 0.000 3.067 5.470
Y 0.000 3.067 12.058
Y 2.656 1.533 1.040
Y 2.656 1.533 7.628
Tl 0.000 0.000 0.000
Tl 0.000 0.000 6.549
Tl 0.000 3.067 8.944
Tl 2.656 1.533 4.154